The following is a DFT calculation (PBE) of Rb4LiAs2 after structural relaxation.

abc: 5.981 5.981 10.380
angles: 73.26 73.26 60.00
Last column: magnetic moment on the atom in μB.
Element x y z (fractional)
As 0.084 0.084 0.748  0.21
Rb 0.615 0.615 0.156  0.01
Rb 0.385 0.385 0.844  0.01
Rb 0.794 0.794 0.619  0.01
Li 0.000 0.000 0.000  0.00
As 0.916 0.916 0.252  0.21
Rb 0.206 0.206 0.381  0.01

Summary:
The calculated volume comes out at 303.2 Å³/cell. The calculation puts the formation enthalpy at 0 K at -2.1 eV/f.u.